1.
Crystalline Ac8TlTe4As3 at its relaxed geometry. Source: the Alexandria database, functional GGA-PBE.

Output
total DFT energy (no corrections)	-83.89	eV/cell
energy relative to the elements, uncorrected	-1.3838	eV per atom
mass density	7.9	g/cm3
magnetization	0.0	Bohr magnetons per cell
DOS(E_F)	0.317	states/eV/atom

Lattice parameters (Å, degrees): 9.421 9.421 9.421 59.32 59.32 59.32
Element x y z (fractional)
Ac  0.238  0.746  0.746
Ac  0.241  0.241  0.241
Ac  0.254  0.254  0.762
Ac  0.254  0.762  0.254
Ac  0.746  0.238  0.746
Ac  0.746  0.746  0.238
Ac  0.759  0.759  0.759
Ac  0.762  0.254  0.254
Tl  0.500  0.500  0.500
Te  0.000  0.000  0.000
Te  0.000  0.500  0.500
Te  0.500  0.000  0.500
Te  0.500  0.500  0.000
As  0.000  0.000  0.500
As  0.000  0.500  0.000
As  0.500  0.000  0.000

2.
Crystalline Hf2Fe3Si4 at its relaxed geometry. Source: the Alexandria database, functional GGA-PBE.

Output
total DFT energy (no corrections)	-145.61	eV/cell
energy relative to the elements, uncorrected	-0.6465	eV per atom
mass density	8.7	g/cm3
magnetization	4.9	Bohr magnetons per cell
DOS(E_F)	0.640	states/eV/atom

Lattice parameters (Å, degrees): 7.385 7.385 6.792 90.00 90.00 139.01
Element x y z (fractional)
Hf  0.107  0.893  0.901
Hf  0.393  0.607  0.401
Hf  0.607  0.393  0.599
Hf  0.893  0.107  0.099
Fe  0.000  0.000  0.500
Fe  0.019  0.481  0.750
Fe  0.481  0.019  0.250
Fe  0.500  0.500  0.000
Fe  0.519  0.981  0.750
Fe  0.981  0.519  0.250
Si  0.177  0.823  0.520
Si  0.188  0.312  0.750
Si  0.312  0.188  0.250
Si  0.323  0.677  0.020
Si  0.677  0.323  0.980
Si  0.688  0.812  0.750
Si  0.812  0.688  0.250
Si  0.823  0.177  0.480

3.
Crystalline LiScB12 at its relaxed geometry. Source: the Alexandria database, functional GGA-PBE.

Output
total DFT energy (no corrections)	-90.48	eV/cell
mass density	2.2	g/cm3
magnetization	0.0	Bohr magnetons per cell
ΔH_f (0 K)	-0.151	eV/atom
DOS(E_F)	0.077	states/eV/atom

Lattice parameters (Å, degrees): 4.100 4.100 8.210 90.00 90.00 90.00
Element x y z (fractional)
Li  0.000  0.000  0.000
Sc  0.000  0.000  0.500
B  0.199  0.500  0.253
B  0.199  0.500  0.747
B  0.500  0.199  0.253
B  0.500  0.199  0.747
B  0.500  0.500  0.101
B  0.500  0.500  0.402
B  0.500  0.500  0.598
B  0.500  0.500  0.899
B  0.500  0.801  0.253
B  0.500  0.801  0.747
B  0.801  0.500  0.253
B  0.801  0.500  0.747

4.
Crystalline Ac2In5Ga3 at its relaxed geometry. Source: the Alexandria database, functional GGA-PBE.

Output
E above lowest polymorph	0	meV/atom
total DFT energy (no corrections)	-68.37	eV/cell
mass density	7.7	g/cm3
magnetization	0.0	Bohr magnetons per cell
ΔH_f (0 K)	-0.320	eV/atom
DOS(E_F)	0.327	states/eV/atom

Lattice parameters (Å, degrees): 9.558 9.558 9.558 111.25 84.69 136.90
Element x y z (fractional)
Ac  0.122  0.238  0.360
Ac  0.378  0.738  0.116
Ac  0.622  0.262  0.884
Ac  0.878  0.762  0.640
In  0.014  0.750  0.264
In  0.123  0.879  0.002
In  0.250  0.750  0.500
In  0.377  0.379  0.756
In  0.486  0.750  0.736
In  0.514  0.250  0.264
In  0.623  0.621  0.244
In  0.750  0.250  0.500
In  0.877  0.121  0.998
In  0.986  0.250  0.736
Ga  0.119  0.633  0.752
Ga  0.250  0.250  0.000
Ga  0.381  0.133  0.515
Ga  0.619  0.867  0.485
Ga  0.750  0.750  0.000
Ga  0.881  0.367  0.248

5.
Crystalline LiTlTc2 at its relaxed geometry. Source: the Alexandria database, functional GGA-PBE.

Output
E above lowest polymorph	696	meV/atom
total DFT energy (no corrections)	-21.60	eV/cell
mass density	10.0	g/cm3
magnetization	0.0	Bohr magnetons per cell
ΔH_f (0 K)	0.854	eV/atom
DOS(E_F)	0.975	states/eV/atom

Lattice parameters (Å, degrees): 2.710 2.710 9.211 90.00 90.00 90.00
Element x y z (fractional)
Li  0.000  0.000  0.000
Tl  0.000  0.000  0.500
Tc  0.500  0.500  0.231
Tc  0.500  0.500  0.769

6.
Crystalline KAg4Cl12 at its relaxed geometry. Source: the Alexandria database, functional GGA-PBE.

Output
total DFT energy (no corrections)	-41.09	eV/cell
energy relative to the elements, uncorrected	-0.3781	eV per atom
mass density	3.3	g/cm3
magnetization	0.0	Bohr magnetons per cell
DOS(E_F)	0.577	states/eV/atom

Lattice parameters (Å, degrees): 8.356 8.356 8.356 109.47 109.47 109.47
Element x y z (fractional)
K  0.000  0.000  0.000
Ag  0.000  0.000  0.500
Ag  0.000  0.500  0.000
Ag  0.500  0.000  0.000
Ag  0.500  0.500  0.500
Cl  0.105  0.296  0.809
Cl  0.191  0.487  0.296
Cl  0.191  0.895  0.704
Cl  0.296  0.191  0.487
Cl  0.296  0.809  0.105
Cl  0.487  0.296  0.191
Cl  0.513  0.704  0.809
Cl  0.704  0.191  0.895
Cl  0.704  0.809  0.513
Cl  0.809  0.105  0.296
Cl  0.809  0.513  0.704
Cl  0.895  0.704  0.191

7.
Crystalline AcEuSiAg at its relaxed geometry. Source: the Alexandria database, functional GGA-PBE.

Output
total DFT energy (no corrections)	-24.21	eV/cell
energy relative to the elements, uncorrected	-0.3883	eV per atom
mass density	7.6	g/cm3
magnetization	7.2	Bohr magnetons per cell
DOS(E_F)	2.172	states/eV/atom

Lattice parameters (Å, degrees): 5.415 5.415 5.415 60.00 60.00 60.00
Element x y z (fractional)
Ac  0.000  0.000  0.000
Eu  0.500  0.500  0.500
Si  0.750  0.750  0.750
Ag  0.250  0.250  0.250

8.
Crystalline MgTlCuAg at its relaxed geometry. Source: the Alexandria database, functional GGA-PBE.

Output
total DFT energy (no corrections)	-10.64	eV/cell
mass density	8.8	g/cm3
magnetization	0.0	Bohr magnetons per cell
ΔH_f (0 K)	0.066	eV/atom
DOS(E_F)	0.466	states/eV/atom

Lattice parameters (Å, degrees): 4.736 4.736 4.736 60.00 60.00 60.00
Element x y z (fractional)
Mg  0.000  0.000  0.000
Tl  0.500  0.500  0.500
Cu  0.750  0.750  0.750
Ag  0.250  0.250  0.250